1.
Material: LiSmErRe
Method: DFT, PBE
State: relaxed

Results
* DFT formation energy: 0.0934 eV per atom
* magnetization: 0.000 μB per atom
* E_tot: -0.428 Ry/atom
* volume: 342 Å³/cell

a b c (Å): 6.994 6.994 6.994
angles (deg): 90.00 90.00 90.00
Space group F-43m (No. 216)
One atom of each set of equivalent atoms:
Li 0.000 0.000 0.000 [4 per cell]
Sm 0.250 0.250 0.250 [4 per cell]
Er 0.250 0.250 0.750 [4 per cell]
Re 0.000 0.000 0.500 [4 per cell]



2.
Material: MoIr3
Method: DFT, PBE
State: relaxed

Results
* DFT formation energy: -0.3359 eV per atom
* magnetization: 0.000 μB per atom
* E_tot: -0.712 Ry/atom
* volume: 117 Å³/cell

a b c (Å): 5.5420 5.5420 4.4167
angles (deg): 90.00 90.00 120.00
Space group P6_3/mmc (No. 194)
One atom of each set of equivalent atoms:
Mo 0.3333 0.6667 0.2500 [2 per cell]
Ir 0.1663 0.3326 0.7500 [6 per cell]



3.
Material: CaTc5P3
Method: DFT, PBE
State: relaxed

Results
* DFT formation energy: -0.3765 eV per atom
* magnetization: 0.000 μB per atom
* E_tot: -0.600 Ry/atom
* volume: 589 Å³/cell

a b c (Å): 3.996 12.886 11.435
angles (deg): 90.00 90.00 90.00
Space group Cmcm (No. 63)
One atom of each set of equivalent atoms:
Ca 0.000 0.171 0.250 [4 per cell]
Tc 0.000 0.000 0.000 [4 per cell]
Tc 0.000 0.192 0.559 [8 per cell]
Tc 0.000 0.462 0.144 [8 per cell]
P 0.000 0.124 0.750 [4 per cell]
P 0.000 0.371 0.549 [8 per cell]



4.
Material: Ta3Mo13
Method: DFT, PBE
State: relaxed

Results
* DFT formation energy: -0.0940 eV per atom
* magnetization: 0.000 μB per atom
* E_tot: -0.817 Ry/atom
* volume: 519 Å³/cell

a b c (Å): 6.376 9.012 9.037
angles (deg): 90.00 90.00 90.00
Space group Amm2 (No. 38)
One atom of each set of equivalent atoms:
Ta 0.000 0.000 0.000 [2 per cell]
Ta 0.252 0.000 0.743 [4 per cell]
Mo 0.000 0.000 0.493 [2 per cell]
Mo 0.000 0.248 0.246 [4 per cell]
Mo 0.251 0.000 0.247 [4 per cell]
Mo 0.251 0.249 0.495 [8 per cell]
Mo 0.500 0.000 0.492 [2 per cell]
Mo 0.500 0.000 0.997 [2 per cell]
Mo 0.500 0.247 0.245 [4 per cell]